Material: BaSr2In
Method: DFT, GGA-PBE
State: relaxed

Energy above the most stable polymorph in this dataset = 0.016 eV/atom
ΔE_f = -0.82 eV per formula unit

Unit cell a=7.7626 b=7.7626 c=6.4450 alpha=65.55 beta=65.55 gamma=31.87
Last column: nearest neighbours and their distance in Å.
Sites, in units of the cell vectors:
Ba (0.2500, 0.2500, 0.2500)  4 In 3.86, 4 Sr 4.20, 2 Ba 4.26
In (0.7500, 0.7500, 0.7500)  4 Sr 3.44
Sr (0.4501, 0.4501, 0.5499)  2 In 3.44
Sr (0.0499, 0.0499, 0.9501)  2 In 3.44